# 1
First-principles (GGA-PBE) data for Li2CuW after structural relaxation, as listed in the Alexandria database.

Cell lengths 2.5011, 4.7167, 4.8625 Å; angles 90.00, 92.18, 90.00 degrees
Space group P2/m (No. 10)
One atom of each set of equivalent atoms:
1 Li 0.1351 0.0000 0.2458 x2
2 Cu 0.0000 0.5000 0.5000 x1
3 W 0.5000 0.5000 0.0000 x1

Calculated values
Magnetization, μB/f.u.: 0.00
Energy, eV per atom: -4.8323
V, A^3/atom: 14.33
Formation enthalpy at 0 K, kJ/mol of atoms: 37

***

# 2
First-principles (GGA-PBE) data for KGe6As8 after structural relaxation, as listed in the Alexandria database.

Cell lengths 9.7408, 9.7408, 15.7197 Å; angles 90.00, 90.00, 120.00 degrees
Space group R-3 (No. 148, hexagonal axes)
One atom of each set of equivalent atoms:
1 K 0.0000 0.0000 0.0000 x3
2 Ge 0.9998 0.1909 0.3398 x18
3 As 0.0000 0.0000 0.2319 x6
4 As 0.0023 0.2408 0.5724 x18

Calculated values
Magnetization, μB/f.u.: 0.00
Energy, eV per atom: -4.3348
V, A^3/atom: 28.70
Formation enthalpy at 0 K, kJ/mol of atoms: 6

***

# 3
First-principles (GGA-PBE) data for TaSi3Ni after structural relaxation, as listed in the Alexandria database.

Cell lengths 4.8318, 4.8318, 4.8318 Å; angles 90.00, 90.00, 90.00 degrees
Space group Pm-3m (No. 221)
One atom of each set of equivalent atoms:
1 Ta 0.0000 0.0000 0.0000 x1
2 Si 0.0000 0.0000 0.5000 x3
3 Ni 0.5000 0.5000 0.5000 x1

Calculated values
Magnetization, μB/f.u.: 1.11
Energy, eV per atom: -5.6477
E_form (uncorrected), kJ/mol of atoms: 109
V, A^3/atom: 22.56

***

# 4
First-principles (GGA-PBE) data for CsCaNbS4 after structural relaxation, as listed in the Alexandria database.

Cell lengths 6.8388, 7.0734, 9.5591 Å; angles 90.00, 107.55, 90.00 degrees
Space group P2_1/m (No. 11)
One atom of each set of equivalent atoms:
1 Cs 0.2353 0.2500 0.4379 x2
2 Ca 0.2809 0.2500 0.9538 x2
3 Nb 0.2701 0.7500 0.1610 x2
4 S 0.0614 0.7500 0.9272 x2
5 S 0.0697 0.7500 0.3148 x2
6 S 0.4920 0.0028 0.1967 x4

Calculated values
Magnetization, μB/f.u.: 0.00
Energy, eV per atom: -5.5935
E_form (uncorrected), kJ/mol of atoms: -134
V, A^3/atom: 31.49

***

# 5
First-principles (GGA-PBE) data for Ac6Ga3Ir after structural relaxation, as listed in the Alexandria database.

Cell lengths 13.6072, 13.6072, 14.6963 Å; angles 90.00, 90.00, 120.00 degrees
Space group R-3 (No. 148, hexagonal axes)
One atom of each set of equivalent atoms:
1 Ac 0.0281 0.1985 0.3928 x18
2 Ac 0.0319 0.1935 0.8856 x18
3 Ga 0.0516 0.2768 0.1876 x18
4 Ir 0.0000 0.0000 0.0000 x3
5 Ir 0.0000 0.0000 0.5000 x3

Calculated values
Magnetization, μB/f.u.: 0.00
Energy, eV per atom: -4.5566
V, A^3/atom: 39.28
Formation enthalpy at 0 K, kJ/mol of atoms: -29

***

# 6
First-principles (GGA-PBE) data for Zn5Fe4Cu after structural relaxation, as listed in the Alexandria database.

Cell lengths 2.5933, 2.5933, 18.9650 Å; angles 90.00, 90.00, 90.00 degrees
Space group P4/mmm (No. 123)
One atom of each set of equivalent atoms:
1 Zn 0.0000 0.0000 0.0000 x1
2 Zn 0.0000 0.0000 0.2003 x2
3 Zn 0.0000 0.0000 0.3995 x2
4 Fe 0.5000 0.5000 0.1001 x2
5 Fe 0.5000 0.5000 0.3005 x2
6 Cu 0.5000 0.5000 0.5000 x1

Calculated values
Magnetization, μB/f.u.: 9.27
Energy, eV per atom: -4.4455
V, A^3/atom: 12.75
Formation enthalpy at 0 K, kJ/mol of atoms: -1

***

# 7
First-principles (GGA-PBE) data for HfFeSi2Sb after structural relaxation, as listed in the Alexandria database.

Cell lengths 5.0198, 5.0198, 5.4693 Å; angles 90.00, 90.00, 90.00 degrees
Space group P4/mmm (No. 123)
One atom of each set of equivalent atoms:
1 Hf 0.0000 0.0000 0.0000 x1
2 Fe 0.5000 0.5000 0.5000 x1
3 Si 0.0000 0.5000 0.0000 x2
4 Sb 0.0000 0.0000 0.5000 x1

Calculated values
Magnetization, μB/f.u.: 3.59
Energy, eV per atom: -5.5466
E_form (uncorrected), kJ/mol of atoms: 109
V, A^3/atom: 27.56

***

# 8
First-principles (GGA-PBE) data for Rb2CdHgF6 after structural relaxation, as listed in the Alexandria database.

Cell lengths 9.1231, 9.1231, 9.1231 Å; angles 90.00, 90.00, 90.00 degrees
Space group Fm-3m (No. 225)
One atom of each set of equivalent atoms:
1 Rb 0.2500 0.2500 0.2500 x8
2 Cd 0.0000 0.0000 0.0000 x4
3 Hg 0.0000 0.0000 0.5000 x4
4 F 0.0000 0.0000 0.2458 x24

Calculated values
Magnetization, μB/f.u.: 0.00
Energy, eV per atom: -3.6547
E_form (uncorrected), kJ/mol of atoms: -214
V, A^3/atom: 18.98

***

# 9
First-principles (GGA-PBE) data for ZrAlAs2 after structural relaxation, as listed in the Alexandria database.

Cell lengths 5.2746, 5.2746, 5.6525 Å; angles 90.00, 90.00, 90.00 degrees
Space group P4/nmm (No. 129, origin choice 2)
One atom of each set of equivalent atoms:
1 Zr 0.2500 0.7500 0.0000 x2
2 Al 0.2500 0.2500 0.3807 x2
3 As 0.2500 0.2500 0.9066 x2
4 As 0.2500 0.7500 0.5000 x2

Calculated values
Magnetization, μB/f.u.: 0.00
Energy, eV per atom: -6.0101
V, A^3/atom: 19.66
Formation enthalpy at 0 K, kJ/mol of atoms: -59

***

# 10
First-principles (GGA-PBE) data for Tb4BI5 after structural relaxation, as listed in the Alexandria database.

Cell lengths 21.4370, 4.0711, 8.6262 Å; angles 90.00, 90.31, 90.00 degrees
Space group C2/m (No. 12)
One atom of each set of equivalent atoms:
1 Tb 0.0000 0.0000 0.1980 x4
2 Tb 0.1164 0.5000 0.0017 x4
3 B 0.0000 0.5000 0.0000 x2
4 I 0.0000 0.5000 0.5000 x2
5 I 0.1487 0.0000 0.2584 x4
6 I 0.1489 0.0000 0.7458 x4

Calculated values
Magnetization, μB/f.u.: 0.00
Energy, eV per atom: -4.3682
E_form (uncorrected), kJ/mol of atoms: -104
V, A^3/atom: 37.64

***

# 11
First-principles (GGA-PBE) data for PmEuCdCu after structural relaxation, as listed in the Alexandria database.

Cell lengths 7.5026, 7.5026, 7.5026 Å; angles 90.00, 90.00, 90.00 degrees
Space group F-43m (No. 216)
One atom of each set of equivalent atoms:
1 Pm 0.0000 0.0000 0.0000 x4
2 Eu 0.0000 0.0000 0.5000 x4
3 Cd 0.2500 0.2500 0.2500 x4
4 Cu 0.2500 0.2500 0.7500 x4

Calculated values
Magnetization, μB/f.u.: 7.19
Energy, eV per atom: -5.1760
V, A^3/atom: 26.39
Formation enthalpy at 0 K, kJ/mol of atoms: -16

***

# 12
First-principles (GGA-PBE) data for CdHgPd3Pt after structural relaxation, as listed in the Alexandria database.

Cell lengths 18.3790, 4.7992, 4.8214 Å; angles 90.00, 105.14, 90.00 degrees
Space group C2/m (No. 12)
One atom of each set of equivalent atoms:
1 Cd 0.1195 0.0000 0.3754 x4
2 Hg 0.2072 0.0000 0.9657 x4
3 Pd 0.0422 0.0000 0.7948 x4
4 Pd 0.1206 0.5000 0.8664 x4
5 Pd 0.2045 0.5000 0.4477 x4
6 Pt 0.0373 0.5000 0.2862 x4

Calculated values
Magnetization, μB/f.u.: 0.00
Energy, eV per atom: -3.9352
V, A^3/atom: 17.10
Formation enthalpy at 0 K, kJ/mol of atoms: -12

***

# 13
First-principles (GGA-PBE) data for Re2TeRh after structural relaxation, as listed in the Alexandria database.

Cell lengths 2.9662, 4.0321, 5.7773 Å; angles 90.00, 104.61, 90.00 degrees
Space group Pm (No. 6)
One atom of each set of equivalent atoms:
1 Re 0.0000 0.0000 0.0000 x1
2 Re 0.4560 0.5000 0.8011 x1
3 Te 0.2428 0.0000 0.4741 x1
4 Rh 0.6515 0.5000 0.2794 x1

Calculated values
Magnetization, μB/f.u.: 0.00
Energy, eV per atom: -8.4068
E_form (uncorrected), kJ/mol of atoms: 43
V, A^3/atom: 16.72

***

# 14
First-principles (GGA-PBE) data for Y4TlFe after structural relaxation, as listed in the Alexandria database.

Cell lengths 8.7597, 12.7548, 6.1228 Å; angles 90.00, 106.44, 90.00 degrees
Space group C2/c (No. 15)
One atom of each set of equivalent atoms:
1 Y 0.1055 0.1619 0.0438 x8
2 Y 0.2212 0.4211 0.3954 x8
3 Tl 0.0000 0.3729 0.7500 x4
4 Fe 0.0000 0.0009 0.2500 x4

Calculated values
Magnetization, μB/f.u.: 0.00
Energy, eV per atom: -6.2660
V, A^3/atom: 27.34
Formation enthalpy at 0 K, kJ/mol of atoms: -15

***

# 15
First-principles (GGA-PBE) data for LaCuSnTe2 after structural relaxation, as listed in the Alexandria database.

Cell lengths 5.6570, 5.6570, 6.1210 Å; angles 90.00, 90.00, 90.00 degrees
Space group P4/mmm (No. 123)
One atom of each set of equivalent atoms:
1 La 0.0000 0.0000 0.0000 x1
2 Cu 0.5000 0.5000 0.0000 x1
3 Sn 0.0000 0.0000 0.5000 x1
4 Te 0.0000 0.5000 0.5000 x2

Calculated values
Magnetization, μB/f.u.: 0.00
Energy, eV per atom: -3.3905
E_form (uncorrected), kJ/mol of atoms: 45
V, A^3/atom: 39.18

***

# 16
First-principles (GGA-PBE) data for AlTlRu3 after structural relaxation, as listed in the Alexandria database.

Cell lengths 4.4989, 4.4989, 4.4989 Å; angles 90.00, 90.00, 90.00 degrees
Space group Pm-3m (No. 221)
One atom of each set of equivalent atoms:
1 Al 0.0000 0.0000 0.0000 x1
2 Tl 0.5000 0.5000 0.5000 x1
3 Ru 0.0000 0.0000 0.5000 x3

Calculated values
Magnetization, μB/f.u.: 2.16
Energy, eV per atom: -5.8291
V, A^3/atom: 18.21
Formation enthalpy at 0 K, kJ/mol of atoms: 92

***

# 17
First-principles (GGA-PBE) data for AcZn6Ag2 after structural relaxation, as listed in the Alexandria database.

Cell lengths 12.0668, 12.0668, 12.0668 Å; angles 90.00, 90.00, 90.00 degrees
Space group Fd-3m (No. 227, origin choice 2)
One atom of each set of equivalent atoms:
1 Ac 0.1250 0.1250 0.1250 x8
2 Zn 0.1156 0.3750 0.8750 x48
3 Ag 0.0000 0.0000 0.5000 x16

Calculated values
Magnetization, μB/f.u.: 0.00
Energy, eV per atom: -1.6743
V, A^3/atom: 24.40
Formation enthalpy at 0 K, kJ/mol of atoms: 26

***

# 18
First-principles (GGA-PBE) data for Dy3Fe3B8 after structural relaxation, as listed in the Alexandria database.

Cell lengths 3.1734, 8.0032, 12.6828 Å; angles 90.00, 90.00, 90.00 degrees
Space group Immm (No. 71)
One atom of each set of equivalent atoms:
1 Dy 0.0000 0.0000 0.0000 x2
2 Dy 0.0000 0.0000 0.2765 x4
3 Fe 0.0000 0.2057 0.5000 x4
4 Fe 0.0000 0.5000 0.0000 x2
5 B 0.0000 0.2670 0.1203 x8
6 B 0.0000 0.3165 0.3633 x8

Calculated values
Magnetization, μB/f.u.: 2.82
Energy, eV per atom: -6.8558
V, A^3/atom: 11.50
Formation enthalpy at 0 K, kJ/mol of atoms: -23

***

# 19
First-principles (GGA-PBE) data for Sr2Sn5Hg after structural relaxation, as listed in the Alexandria database.

Cell lengths 9.3931, 9.3916, 7.8728 Å; angles 90.00, 126.52, 90.00 degrees
Space group Cm (No. 8)
One atom of each set of equivalent atoms:
1 Sr 0.0000 0.2502 0.0000 x4
2 Sn 0.1248 0.0000 0.7508 x2
3 Sn 0.2321 0.5000 0.4927 x2
4 Sn 0.2618 0.0000 0.4944 x2
5 Sn 0.4973 0.2352 0.4942 x4
6 Hg 0.3378 0.0000 0.1759 x2

Calculated values
Magnetization, μB/f.u.: 0.00
Energy, eV per atom: -3.1552
V, A^3/atom: 34.88
Formation enthalpy at 0 K, kJ/mol of atoms: -19

***

# 20
First-principles (GGA-PBE) data for BiTeAuN2 after structural relaxation, as listed in the Alexandria database.

Cell lengths 4.2632, 4.2632, 6.6930 Å; angles 90.00, 90.00, 90.00 degrees
Space group P4/mmm (No. 123)
One atom of each set of equivalent atoms:
1 Bi 0.0000 0.0000 0.0000 x1
2 Te 0.0000 0.0000 0.5000 x1
3 Au 0.5000 0.5000 0.5000 x1
4 N 0.0000 0.5000 0.0000 x2

Calculated values
Magnetization, μB/f.u.: 2.00
Energy, eV per atom: -3.8295
E_form (uncorrected), kJ/mol of atoms: 151
V, A^3/atom: 24.33

***

# 21
First-principles (GGA-PBE) data for Ba6AsAu2Br3 after structural relaxation, as listed in the Alexandria database.

Cell lengths 8.2249, 14.2537, 8.6866 Å; angles 90.00, 108.47, 90.00 degrees
Space group C2/m (No. 12)
One atom of each set of equivalent atoms:
1 Ba 0.2374 0.1637 0.2222 x8
2 Ba 0.2464 0.5000 0.2219 x4
3 As 0.0000 0.0000 0.0000 x2
4 Au 0.0000 0.3330 0.0000 x4
5 Br 0.0000 0.1631 0.5000 x4
6 Br 0.0000 0.5000 0.5000 x2

Calculated values
Magnetization, μB/f.u.: 1.47
Energy, eV per atom: -3.5974
E_form (uncorrected), kJ/mol of atoms: -124
V, A^3/atom: 40.25

***

# 22
First-principles (GGA-PBE) data for BSbW3 after structural relaxation, as listed in the Alexandria database.

Cell lengths 4.8820, 4.8820, 4.8820 Å; angles 90.00, 90.00, 90.00 degrees
Space group Pm-3m (No. 221)
One atom of each set of equivalent atoms:
1 B 0.0000 0.0000 0.0000 x1
2 Sb 0.5000 0.5000 0.5000 x1
3 W 0.0000 0.5000 0.5000 x3

Calculated values
Magnetization, μB/f.u.: 0.00
Energy, eV per atom: -6.3789
E_form (uncorrected), kJ/mol of atoms: 343
V, A^3/atom: 23.27

***

# 23
First-principles (GGA-PBE) data for TbSc2Hg after structural relaxation, as listed in the Alexandria database.

Cell lengths 8.8956, 7.5739, 6.1580 Å; angles 90.00, 90.00, 90.00 degrees
Space group Pnma (No. 62)
One atom of each set of equivalent atoms:
1 Tb 0.0287 0.2500 0.1046 x4
2 Sc 0.1814 0.0434 0.6013 x8
3 Hg 0.0991 0.7500 0.3562 x4

Calculated values
Magnetization, μB/f.u.: 0.00
Energy, eV per atom: -4.5847
V, A^3/atom: 25.93
Formation enthalpy at 0 K, kJ/mol of atoms: -18